No. 1
This record from Alexandria via LeMat-Bulk describes crystalline ZrSc2P at its relaxed geometry. The functional is GGA-PBEsol.

Lattice parameters (Å, degrees): 3.345 3.345 9.351 79.70 79.70 60.00
Atoms (fractional coordinates):
Sc (0.891, 0.891, 0.328)
Sc (0.109, 0.109, 0.672)
P (0.500, 0.500, 0.500)
Zr (0.000, 0.000, 0.000)

Properties
Calculated total energy   -7.356 eV/atom
ΔH_f (0 K)   -0.33 eV/atom
DOS(E_F)   0.874 states/eV/atom
SG   No. 166

No. 2
This record from Alexandria via LeMat-Bulk describes crystalline ZrSc2P at its relaxed geometry. The functional is GGA-PBEsol.

Lattice parameters (Å, degrees): 4.151 4.167 4.167 90.00 90.00 90.00
Atoms (fractional coordinates):
Sc (0.000, 0.000, 0.500)
Sc (0.000, 0.500, 0.000)
Zr (0.500, 0.500, 0.500)
P (0.500, 0.000, 0.000)

Properties
Calculated total energy   -7.532 eV/atom
ΔH_f (0 K)   -0.51 eV/atom
DOS(E_F)   1.198 states/eV/atom
SG   No. 123

No. 3
This record from Alexandria via LeMat-Bulk describes crystalline Zr2ScP at its relaxed geometry. The functional is GGA-PBEsol.

Lattice parameters (Å, degrees): 3.470 3.470 8.472 78.18 78.18 60.00
Atoms (fractional coordinates):
Zr (0.229, 0.229, 0.312)
Zr (0.771, 0.771, 0.688)
P (0.500, 0.500, 0.500)
Sc (0.000, 0.000, 0.000)

Properties
Calculated total energy   -8.261 eV/atom
ΔH_f (0 K)   -0.62 eV/atom
DOS(E_F)   1.395 states/eV/atom
SG   No. 166

DOS(E_F) of number 1 (ZrSc2P)? 0.874 states/eV/atom

Which of these has the highest DOS(E_F)? Zr2ScP